Here is crystalline Y3Th2Sc4 at its relaxed geometry from the Alexandria database. Energies are from PBE.

```
9
Lattice="-5.080 -1.179 1.957 -0.837 -4.013 -4.593 6.025 -2.316 6.320" Properties=species:S:1:pos:R:3 pbc="T T T"
Y -0.184 -4.135 4.958
Y 0.292 -3.373 -1.275
Y 0.000 0.000 0.000
Th 1.631 -5.978 0.632
Th -1.523 -1.531 3.052
Sc -2.458 -2.404 0.096
Sc -1.251 -4.766 1.809
Sc 2.567 -5.104 3.587
Sc 1.359 -2.743 1.875
```

Output
**Crystal system**: monoclinic
**Uncorrected energy**: -6.52 eV per atom

=====

Here is crystalline YThSc at its relaxed geometry from the Alexandria database. Energies are from PBE.

```
6
Lattice="3.356 0.000 0.000 0.000 5.649 0.000 0.000 0.000 9.685" Properties=species:S:1:pos:R:3 pbc="T T T"
Sc 1.678 0.000 7.358
Sc 0.000 2.825 2.327
Y 0.000 0.000 4.238
Y 1.678 2.825 5.447
Th 1.678 2.825 9.014
Th 0.000 0.000 0.671
```

Output
**Crystal system**: orthorhombic
**Energy relative to the lowest polymorph listed for this composition**: 175 meV/atom

=====

Here is crystalline Y5Th4Sc4 at its relaxed geometry from the Alexandria database. Energies are from PBE.

```
13
Lattice="4.821 0.000 1.226 2.411 8.843 0.613 0.231 0.000 9.183" Properties=species:S:1:pos:R:3 pbc="T T T"
Y 5.565 7.483 8.395
Y 1.899 1.360 2.627
Y 0.000 0.000 0.000
Y 4.486 6.765 2.544
Y 2.977 2.078 8.478
Th 5.720 4.047 7.783
Th 3.824 2.709 5.148
Th 1.743 4.796 3.239
Th 3.639 6.134 5.874
Sc 4.649 3.449 1.904
Sc 2.815 5.394 9.118
Sc 6.382 8.143 5.182
Sc 1.081 0.700 5.840
```

Output
**Crystal system**: tetragonal
**Uncorrected energy**: -6.67 eV per atom

=====

Here is crystalline YThSc at its relaxed geometry from the Alexandria database. Energies are from PBE.

```
3
Lattice="3.516 0.000 0.000 0.000 3.516 0.000 -1.758 -1.758 7.226" Properties=species:S:1:pos:R:3 pbc="T T T"
Y 1.758 1.758 7.218
Sc 1.758 1.758 2.490
Th 0.000 0.000 4.744
```

Output
**Crystal system**: tetragonal
**Energy relative to the lowest polymorph listed for this composition**: 13 meV/atom

=====

Here is crystalline Y5Th2Sc4 at its relaxed geometry from the Alexandria database. Energies are from PBE.

```
11
Lattice="3.493 0.000 0.000 0.000 8.766 -1.211 0.000 0.327 10.869" Properties=species:S:1:pos:R:3 pbc="T T T"
Y 0.000 4.383 -0.606
Y 0.000 1.340 1.327
Y 0.000 7.752 8.330
Y 0.000 4.845 2.886
Y 0.000 4.247 6.771
Th 0.000 8.073 2.891
Th 0.000 1.020 6.767
Sc 1.746 2.026 9.285
Sc 1.746 7.067 0.373
Sc 1.746 2.373 4.285
Sc 1.746 6.720 5.372
```

Output
**Crystal system**: monoclinic
**Energy relative to the lowest polymorph listed for this composition**: 0 meV/atom

=====

Here is crystalline YTh7Sc2 at its relaxed geometry from the Alexandria database. Energies are from PBE.

```
10
Lattice="4.717 -1.430 0.656 -2.521 7.016 -4.333 1.127 -0.157 10.486" Properties=species:S:1:pos:R:3 pbc="T T T"
Y 0.000 0.000 0.000
Th 3.161 3.533 3.817
Th 0.161 1.896 2.992
Th 0.331 3.781 5.907
Th 2.992 1.648 0.902
Th -0.634 5.876 -1.524
Th 3.957 -0.448 8.333
Th 1.098 2.793 -1.838
Sc 1.269 4.702 1.094
Sc 2.054 0.727 5.716
```

Output
**Crystal system**: triclinic
**Uncorrected energy**: -7.05 eV per atom

=====

Here is crystalline YThSc2 at its relaxed geometry from the Alexandria database. Energies are from PBE.

```
4
Lattice="5.428 0.000 0.000 2.714 4.701 0.000 2.714 1.567 4.432" Properties=species:S:1:pos:R:3 pbc="T T T"
Y 5.428 3.134 2.216
Sc 2.714 1.567 1.108
Sc 8.142 4.701 3.324
Th 0.000 0.000 0.000
```

Output
**Crystal system**: cubic
**Energy relative to the lowest polymorph listed for this composition**: 41 meV/atom

=====

Here is crystalline Y2Th4Sc3 at its relaxed geometry from the Alexandria database. Energies are from PBE.

```
9
Lattice="-0.495 -2.769 -2.158 8.222 -1.935 0.597 -1.853 -3.707 8.093" Properties=species:S:1:pos:R:3 pbc="T T T"
Y 7.210 -4.944 1.777
Y -1.336 -3.467 4.754
Th 3.660 -5.845 6.660
Th 1.819 -2.926 3.337
Th 2.214 -2.566 -0.128
Th 4.055 -5.485 3.195
Sc 4.896 -2.354 1.898
Sc 0.978 -6.057 4.634
Sc 0.000 0.000 0.000
```

Output
**Crystal system**: monoclinic
**Uncorrected energy**: -6.81 eV per atom

=====

Here is crystalline YTh3Sc2 at its relaxed geometry from the Alexandria database. Energies are from PBE.

```
12
Lattice="5.080 0.000 0.000 -2.540 12.158 0.659 0.000 -5.277 5.678" Properties=species:S:1:pos:R:3 pbc="T T T"
Y 2.540 3.483 5.930
Y 0.000 3.398 0.407
Th 0.000 4.536 3.640
Th 2.540 6.879 4.596
Th 2.540 -0.895 3.763
Th 0.000 7.776 2.574
Th 0.000 0.002 1.741
Th 2.540 2.345 2.697
Sc 2.540 -3.872 5.367
Sc 0.000 10.753 0.971
Sc 2.540 5.563 1.449
Sc 0.000 1.318 4.888
```

Output
**Crystal system**: monoclinic
**Energy relative to the lowest polymorph listed for this composition**: 137 meV/atom

=====

Here is crystalline YTh2Sc4 at its relaxed geometry from the Alexandria database. Energies are from PBE.

```
7
Lattice="-0.916 5.296 0.016 -2.549 -0.433 -2.518 -5.986 -1.062 8.830" Properties=species:S:1:pos:R:3 pbc="T T T"
Y -1.275 -0.217 -1.259
Th -1.511 2.463 1.106
Th -7.940 1.338 5.222
Sc -4.601 1.926 1.740
Sc -5.894 -1.030 3.558
Sc -4.850 1.875 4.588
Sc -2.641 -0.465 2.754
```

Output
**Crystal system**: orthorhombic
**Energy relative to the lowest polymorph listed for this composition**: 171 meV/atom

=====

Here is crystalline Y4ThSc2 at its relaxed geometry from the Alexandria database. Energies are from PBE.

```
28
Lattice="-5.904 0.919 3.667 2.235 -9.176 5.897 5.589 6.070 7.477" Properties=species:S:1:pos:R:3 pbc="T T T"
Y 1.948 0.696 6.308
Y -1.004 1.156 8.141
Y 1.990 -7.609 8.456
Y -0.066 5.421 8.583
Y -0.963 -7.150 10.289
Y 2.886 4.961 6.749
Y -0.024 -2.885 10.731
Y 2.928 -3.344 8.897
Y 0.268 -6.926 5.520
Y -2.684 -6.467 7.354
Y 3.663 0.015 9.247
Y -1.746 -2.202 7.796
Y 0.711 0.474 11.081
Y 1.206 -2.661 5.962
Y 1.649 4.739 11.523
Y 4.601 4.280 9.689
Th -0.153 3.493 5.569
Th -3.105 3.953 7.402
Th -1.839 -4.128 4.785
Th 1.113 -4.587 2.951
Sc -0.996 -0.317 5.177
Sc 4.750 2.258 7.082
Sc 3.073 -5.365 6.292
Sc 2.916 -1.870 11.864
Sc 0.122 -4.905 8.125
Sc 5.868 -2.330 10.030
Sc 1.798 2.718 8.915
Sc 1.956 -0.777 3.343
```

Output
**Crystal system**: orthorhombic
**Uncorrected energy**: -6.38 eV per atom

=====

Here is crystalline YTh2Sc9 at its relaxed geometry from the Alexandria database. Energies are from PBE.

```
12
Lattice="4.712 0.000 0.000 0.000 4.712 0.000 0.000 0.000 14.244" Properties=species:S:1:pos:R:3 pbc="T T T"
Y 0.000 0.000 0.000
Th 0.000 0.000 4.757
Th 0.000 0.000 9.487
Sc 2.356 2.356 0.000
Sc 2.356 2.356 4.749
Sc 2.356 2.356 9.495
Sc 2.356 0.000 2.404
Sc 2.356 0.000 7.122
Sc 2.356 0.000 11.839
Sc 0.000 2.356 2.404
Sc 0.000 2.356 7.122
Sc 0.000 2.356 11.839
```

Output
**Crystal system**: tetragonal
**Uncorrected energy**: -6.49 eV per atom